This record from Alexandria via LeMat-Bulk describes crystalline Na2CoO3 at its relaxed geometry. The functional is PBE+U.

Geometry as POSCAR:
```
Na2CoO3
1.0
7.3949 -2.9561 0.0000
7.3949 2.9561 0.0000
-1.4558 0.0000 10.1119
Na Co O
8 4 12
Cartesian
1.5186 0.9123 8.7971 Na
5.0651 1.9665 8.6263 Na
7.5410 1.9665 6.5415 Na
2.2465 -0.9123 3.7411 Na
11.0874 0.9123 6.3707 Na
5.7930 -1.9665 3.5704 Na
8.2688 -1.9665 1.4856 Na
11.8153 -0.9123 1.3148 Na
4.7205 1.0635 4.9661 Co
9.3413 1.0635 0.0898 Co
3.9926 -1.0635 10.0221 Co
8.6134 -1.0635 5.1457 Co
4.5679 1.9843 3.5857 O
5.2219 2.0291 6.2699 O
7.3842 2.0291 8.8979 O
3.6344 0.5726 9.7630 O
9.4940 1.9843 1.4702 O
4.3623 -0.5726 4.7071 O
8.9716 0.5726 5.4048 O
3.8400 -1.9843 8.6416 O
9.6995 -0.5726 0.3489 O
5.9498 -2.0291 1.2140 O
8.1121 -2.0291 3.8420 O
8.7661 -1.9843 6.5261 O
```

Calculated volume, Å³/cell: 442
E, eV for the cell shown: -117.44